Record 1
Here is crystalline Ac6Ge2As3Br at its relaxed geometry from Alexandria. Energies are from PBE.

Cell and atoms, written as POSCAR:
```
Ac6Ge2As3Br
1.0
4.5430 0.0000 0.0000
0.0000 9.2114 0.3309
-2.2715 -2.6539 9.6070
Ac Ge As Br
6 2 3 1
Cartesian
0.0000 6.6692 6.5885 Ac
2.2715 4.4809 3.4227 Ac
2.2715 -0.1116 3.3494 Ac
0.0000 2.4767 0.1137 Ac
2.2715 4.0809 9.8242 Ac
0.0000 2.0766 6.5152 Ac
2.2715 4.4121 6.6936 Ge
0.0000 2.1454 3.2443 Ge
2.2715 4.6057 0.1655 As
2.2715 -0.2725 6.5446 As
0.0000 6.8300 3.3934 As
2.2715 0.0000 0.0000 Br
```

## Properties
DOS at the Fermi energy, states/eV/atom: 0.254
Raw formation energy, eV/f.u.: -14.8
Space group: C2/m

Record 2
Here is crystalline CaH2IF at its relaxed geometry from Alexandria. Energies are from PBE.

Cell and atoms, written as POSCAR:
```
CaH2IF
1.0
4.0849 0.0000 0.0000
0.0000 6.5845 0.0000
0.0000 0.0000 4.0849
I H Ca F
1 2 1 1
Cartesian
0.0000 3.2922 0.0000 I
0.0000 0.0000 2.0425 H
2.0425 0.0000 0.0000 H
0.0000 0.0000 0.0000 Ca
2.0425 3.2922 2.0425 F
```

## Properties
DOS at the Fermi energy, states/eV/atom: 0.898
Total DFT energy (no corrections), eV/atom: -2.610
Space group: P4/mmm

Record 3
Here is crystalline CsAgHgF6 at its relaxed geometry from Alexandria. Energies are from PBE.

Cell and atoms, written as POSCAR:
```
CsAgHgF6
1.0
-5.1621 -3.4855 2.8426
-0.0013 -1.9758 5.6283
-2.9014 4.8379 2.0767
Cs Ag Hg F
1 1 1 6
Cartesian
-7.8777 1.1358 5.1561 Cs
-4.9220 -1.2010 6.7233 Ag
-2.6548 0.5768 4.4643 Hg
-6.0329 -2.0869 5.3659 F
-3.8214 1.6554 2.4571 F
-4.9204 0.4746 5.6940 F
-2.3298 2.5840 4.7905 F
-2.7724 -1.4462 4.6568 F
-4.9899 -2.8331 7.8007 F
```

## Properties
Raw formation energy, eV/f.u.: -14.4
Space group: P1

Record 4
Here is crystalline LaReBH2 at its relaxed geometry from Alexandria. Energies are from PBE.

Cell and atoms, written as POSCAR:
```
LaReBH2
1.0
3.6475 0.0000 0.0000
0.0000 5.5393 0.0000
0.0000 0.0000 3.6475
Re B H La
1 1 2 1
Cartesian
0.0000 2.7697 0.0000 Re
1.8238 2.7697 1.8238 B
0.0000 0.0000 1.8238 H
1.8238 0.0000 0.0000 H
0.0000 0.0000 0.0000 La
```

## Properties
DOS at the Fermi energy, states/eV/atom: 0.405
Total DFT energy (no corrections), eV/atom: -4.812
Space group: P4/mmm

Record 5
Here is crystalline Hg2SbPt at its relaxed geometry from Alexandria. Energies are from PBE.

Cell and atoms, written as POSCAR:
```
Hg2SbPt
1.0
5.4870 0.0347 0.0000
-2.3934 4.9377 0.0000
0.0000 0.0000 3.1854
Hg Pt Sb
2 1 1
Cartesian
0.0000 0.0000 0.0000 Hg
1.5468 2.4862 0.0000 Hg
2.7435 0.0173 1.5927 Pt
-1.1967 2.4688 1.5927 Sb
```

## Properties
DOS at the Fermi energy, states/eV/atom: 0.417
Raw formation energy, eV/f.u.: 0.9
Space group: Cmmm

Record 6
Here is crystalline Zr2Mo2W at its relaxed geometry from Alexandria. Energies are from PBE.

Cell and atoms, written as POSCAR:
```
Zr2Mo2W
1.0
6.5499 0.0000 0.0000
0.0000 6.5499 0.0000
0.0000 0.0000 4.5964
Mo Zr W
4 4 2
Cartesian
2.3709 5.6459 0.0000 Mo
5.6459 4.1789 0.0000 Mo
4.1789 0.9040 0.0000 Mo
0.9040 2.3709 0.0000 Mo
1.1518 4.4267 2.2982 Zr
4.4267 5.3981 2.2982 Zr
5.3981 2.1232 2.2982 Zr
2.1232 1.1518 2.2982 Zr
0.0000 0.0000 0.0000 W
3.2749 3.2749 0.0000 W
```

## Properties
DOS at the Fermi energy, states/eV/atom: 1.049
Energy of formation, eV/atom: 0.273
Space group: P4/mbm

In order of appearance, V = 406, 110, 202, 74, 87, 197 Å³ per cell.